1.
The following is a PBE calculation of a geometry-optimized Y2ZrS6 structure, from Alexandria via LeMat-Bulk.

The density of states at the Fermi level is 4.5 states/eV/cell. The value obtained for the uncorrected formation energy is -1454 meV per atom. Its volume is 21.98 A^3/atom. As for the total magnetic moment: 0.0 μB per formula unit.

It has space group P2_1/c (No. 14), with a = 6.610 Å, b = 7.151 Å, c = 10.070 Å, α = 90.00°, β = 123.77° and γ = 90.00°. Symmetry generates all atoms from Y at (0.198, 0.129, 0.227), Zr at (0.500, 0.000, 0.000), S at (0.105, 0.167, 0.920), S at (0.291, 0.676, 0.962) and S at (0.379, 0.015, 0.716).



2.
The following is a PBE calculation of a geometry-optimized Y6ZrS8 structure, from Alexandria via LeMat-Bulk.

The density of states at the Fermi level is 31.8 states/eV/cell. The value obtained for the uncorrected formation energy is -1970 meV per atom. Its volume is 22.12 A^3/atom. As for the total magnetic moment: 0.0 μB per formula unit.

It has space group Fm-3m (No. 225), with a = 10.989 Å, b = 10.989 Å, c = 10.989 Å, α = 90.00°, β = 90.00° and γ = 90.00°. Symmetry generates all atoms from Y at (0.000, 0.250, 0.250), Zr at (0.000, 0.000, 0.000), S at (0.000, 0.000, 0.246) and S at (0.250, 0.250, 0.250).



3.
The following is a PBE calculation of a geometry-optimized YZrS structure, from Alexandria via LeMat-Bulk.

The density of states at the Fermi level is 4.8 states/eV/cell. The value obtained for the uncorrected formation energy is -1275 meV per atom. Its volume is 22.64 A^3/atom. As for the total magnetic moment: 0.0 μB per formula unit.

It has space group P4/nmm (No. 129, origin choice 2), with a = 3.899 Å, b = 3.899 Å, c = 8.934 Å, α = 90.00°, β = 90.00° and γ = 90.00°. Symmetry generates all atoms from Y at (0.250, 0.250, 0.178), Zr at (0.250, 0.250, 0.562) and S at (0.250, 0.250, 0.863).



4.
The following is a PBE calculation of a geometry-optimized Yb2S3 structure, from Alexandria via LeMat-Bulk.

The density of states at the Fermi level is 94.8 states/eV/cell. The value obtained for the uncorrected formation energy is -1557 meV per atom. Its volume is 22.74 A^3/atom. As for the total magnetic moment: 0.5 μB per formula unit.

It has space group C2/c (No. 15), with a = 8.976 Å, b = 10.904 Å, c = 5.674 Å, α = 90.00°, β = 125.01° and γ = 90.00°. Symmetry generates all atoms from Yb at (0.188, 0.141, 0.208), S at (0.000, 0.368, 0.250) and S at (0.186, 0.117, 0.721).



5.
The following is a PBE calculation of a geometry-optimized Yb4S7 structure, from Alexandria via LeMat-Bulk.

The density of states at the Fermi level is 81.5 states/eV/cell. The value obtained for the uncorrected formation energy is -1454 meV per atom. Its volume is 20.81 A^3/atom. As for the total magnetic moment: 1.3 μB per formula unit.

It has space group I-42m (No. 121), with a = 5.345 Å, b = 5.345 Å, c = 16.026 Å, α = 90.00°, β = 90.00° and γ = 90.00°. Symmetry generates all atoms from Yb at (0.246, 0.246, 0.360), S at (0.000, 0.000, 0.500), S at (0.000, 0.500, 0.000) and S at (0.245, 0.245, 0.181).



6.
The following is a PBE calculation of a geometry-optimized Yb2S3 structure, from Alexandria via LeMat-Bulk.

The density of states at the Fermi level is 74.9 states/eV/cell. The value obtained for the uncorrected formation energy is -1607 meV per atom. Its volume is 21.52 A^3/atom. As for the total magnetic moment: 0.4 μB per formula unit.

It has space group Pnma (No. 62), with a = 10.875 Å, b = 3.937 Å, c = 10.051 Å, α = 90.00°, β = 90.00° and γ = 90.00°. Symmetry generates all atoms from Yb at (0.003, 0.250, 0.184), Yb at (0.180, 0.750, 0.500), S at (0.043, 0.250, 0.636), S at (0.136, 0.750, 0.054) and S at (0.240, 0.250, 0.310).



7.
The following is a PBE calculation of a geometry-optimized Yb2S3 structure, from Alexandria via LeMat-Bulk.

The density of states at the Fermi level is 112.1 states/eV/cell. The value obtained for the uncorrected formation energy is -1557 meV per atom. Its volume is 25.20 A^3/atom. As for the total magnetic moment: 0.6 μB per formula unit.

It has space group R-3c (No. 167, hexagonal axes), with a = 6.8721 Å, b = 6.8721 Å, c = 18.4813 Å, α = 90.00°, β = 90.00° and γ = 120.00°. Symmetry generates all atoms from Yb at (0.0000, 0.0000, 0.1512) and S at (0.0000, 0.3008, 0.2500).



8.
The following is a PBE calculation of a geometry-optimized Yb2S3 structure, from Alexandria via LeMat-Bulk.

The density of states at the Fermi level is 141.7 states/eV/cell. The value obtained for the uncorrected formation energy is -1440 meV per atom. Its volume is 23.32 A^3/atom. As for the total magnetic moment: 0.4 μB per formula unit.

It has space group P6_3cm (No. 185), with a = 7.1729 Å, b = 7.1729 Å, c = 15.6997 Å, α = 90.00°, β = 90.00° and γ = 120.00°. Symmetry generates all atoms from Yb at (0.0000, 0.0000, 0.0000), Yb at (0.0000, 0.0000, 0.2361), Yb at (0.3333, 0.6667, 0.1611), Yb at (0.3333, 0.6667, 0.3926), S at (0.0000, 0.2816, 0.1110), S at (0.0000, 0.3638, 0.7898) and S at (0.0000, 0.4825, 0.5095).